# 1
# NbPbO2

NbPbO2 after structural relaxation (PBE, Alexandria via LeMat-Bulk).

a b c (Å): 7.1657 7.1657 7.1657
angles (deg): 27.75 27.75 27.75
Fractional coordinates of all 4 atoms:
1 Pb 0.5000 0.5000 0.5000
2 Nb 0.0000 0.0000 0.0000
3 O 0.9063 0.9063 0.9063
4 O 0.0937 0.0937 0.0937

Properties
The space group is No. 166. The value obtained for the energy above the lowest structure with this stoichiometry is 0.492 eV/atom. The value obtained for the total energy is -27.786 eV for the cell shown. As for the density of states at the Fermi level: 1.63 states/eV/cell.

# 2
# CrTc2W

CrTc2W after structural relaxation (PBE, Alexandria via LeMat-Bulk).

a b c (Å): 4.2985 2.6819 5.0675
angles (deg): 80.86 90.00 90.00
Fractional coordinates of all 4 atoms:
1 Cr 0.5000 0.7500 0.7500
2 Tc 0.0000 0.9935 0.9899
3 Tc 0.0000 0.5065 0.5101
4 W 0.5000 0.2500 0.2500

Properties
The space group is No. 10. The value obtained for the total energy is -42.762 eV for the cell shown. As for the density of states at the Fermi level: 4.90 states/eV/cell. The formation energy comes out at 0.137 eV/atom.

# 3
# CsMg2CrRh

CsMg2CrRh after structural relaxation (PBE, Alexandria via LeMat-Bulk).

a b c (Å): 5.3752 4.4313 5.3752
angles (deg): 90.00 90.00 90.00
Fractional coordinates of all 5 atoms:
1 Cs 0.5000 0.5000 0.5000
2 Cr 0.0000 0.0000 0.0000
3 Mg 0.0000 0.0000 0.5000
4 Mg 0.5000 0.0000 0.0000
5 Rh 0.0000 0.5000 0.0000

Properties
The space group is No. 123. The value obtained for the total energy is -17.540 eV for the cell shown. As for the density of states at the Fermi level: 3.78 states/eV/cell. The formation energy comes out at 0.696 eV/atom.

# 4
# Mg2NbTc

Mg2NbTc after structural relaxation (PBE, Alexandria via LeMat-Bulk).

a b c (Å): 4.6120 4.6120 4.6120
angles (deg): 60.00 60.00 60.00
Fractional coordinates of all 4 atoms:
1 Mg 0.2500 0.2500 0.2500
2 Mg 0.7500 0.7500 0.7500
3 Nb 0.0000 0.0000 0.0000
4 Tc 0.5000 0.5000 0.5000

Properties
The space group is No. 225. The value obtained for the energy above the lowest structure with this stoichiometry is 0.000 eV/atom. The value obtained for the total energy is -21.391 eV for the cell shown. As for the density of states at the Fermi level: 2.70 states/eV/cell. The formation energy comes out at 0.559 eV/atom.

# 5
# Pm4GaTc

Pm4GaTc after structural relaxation (PBE, Alexandria via LeMat-Bulk).

a b c (Å): 6.3860 7.7717 7.7717
angles (deg): 112.79 99.38 99.38
Fractional coordinates of all 12 atoms:
1 Pm 0.9075 0.6291 0.7840
2 Pm 0.0426 0.9387 0.2806
3 Pm 0.5925 0.2160 0.3709
4 Pm 0.4574 0.7194 0.0613
5 Pm 0.5426 0.2806 0.9387
6 Pm 0.4075 0.7840 0.6291
7 Pm 0.9574 0.0613 0.7194
8 Pm 0.0925 0.3709 0.2160
9 Ga 0.7500 0.6234 0.3766
10 Ga 0.2500 0.3766 0.6234
11 Tc 0.2500 0.0000 0.0000
12 Tc 0.7500 0.0000 0.0000

Properties
The space group is No. 15. The value obtained for the total energy is -67.232 eV for the cell shown. As for the density of states at the Fermi level: 12.50 states/eV/cell. The formation energy comes out at -0.203 eV/atom.

# 6
# Tb2UCuSe5

Tb2UCuSe5 after structural relaxation (PBE, Alexandria via LeMat-Bulk).

a b c (Å): 3.9681 9.1454 11.9828
angles (deg): 90.00 90.00 102.53
Fractional coordinates of all 18 atoms:
1 Tb 0.8804 0.7608 0.8096
2 Tb 0.1043 0.2087 0.6852
3 Tb 0.1196 0.2392 0.3096
4 Tb 0.8957 0.7913 0.1852
5 U 0.8036 0.6073 0.5110
6 U 0.1964 0.3927 0.0110
7 Cu 0.5632 0.1264 0.9517
8 Cu 0.4368 0.8736 0.4517
9 Se 0.3600 0.7200 0.0034
10 Se 0.6798 0.3596 0.8399
11 Se 0.4963 0.9927 0.7781
12 Se 0.2918 0.5837 0.6830
13 Se 0.9559 0.9117 0.5621
14 Se 0.6400 0.2800 0.5034
15 Se 0.3202 0.6404 0.3399
16 Se 0.5037 0.0073 0.2781
17 Se 0.7082 0.4163 0.1830
18 Se 0.0441 0.0883 0.0621

Properties
The space group is No. 36. The value obtained for the total energy is -107.720 eV for the cell shown. As for the density of states at the Fermi level: 15.04 states/eV/cell.